No. 1
VASP calculation (PBE) on a geometry-optimized MnAl3V structure.

abc: 4.465 4.465 4.465
angles: 90.00 90.00 90.00
Each line ends with the local moment (μB).
Sites, in units of the cell vectors:
1 Mn 0.000 0.000 0.000  0.13
2 Al 0.000 0.500 0.000  -0.03
3 Al 0.000 0.000 0.500  -0.03
4 Al 0.500 0.000 0.000  -0.03
5 V 0.500 0.500 0.500  2.69

Calculated values
Crystal system: cubic
Energy relative to the elements (eV/atom): 0.464
Mass density (g/cm³): 3.48
Polymorph energy (0 for the lowest one) (eV/atom): 0.398

No. 2
VASP calculation (PBE) on a geometry-optimized MnAlV structure.

abc: 2.676 2.676 5.959
angles: 102.94 77.06 89.76
Each line ends with the local moment (μB).
Sites, in units of the cell vectors:
1 Mn 0.332 0.930 0.146  2.29
2 Al 0.994 0.269 0.825  -0.03
3 V 0.671 0.591 0.470  0.14

Calculated values
Crystal system: orthorhombic
Energy relative to the elements (eV/atom): -0.100
Mass density (g/cm³): 5.45
Polymorph energy (0 for the lowest one) (eV/atom): 0.189

No. 3
VASP calculation (PBE) on a geometry-optimized MnAl8V2 structure.

abc: 3.694 5.571 9.369
angles: 111.60 101.37 90.00
Each line ends with the local moment (μB).
Sites, in units of the cell vectors:
1 Mn 0.500 0.000 0.000  1.91
2 Al 0.394 0.539 0.787  -0.02
3 Al 0.634 0.992 0.269  -0.01
4 Al 0.787 0.664 0.574  0.00
5 Al 0.968 0.244 0.936  -0.02
6 Al 0.213 0.336 0.426  0.00
7 Al 0.366 0.008 0.731  -0.01
8 Al 0.606 0.461 0.213  -0.02
9 Al 0.032 0.756 0.064  -0.02
10 V 0.793 0.174 0.586  -0.01
11 V 0.207 0.826 0.414  -0.01

Calculated values
Crystal system: monoclinic
Energy relative to the elements (eV/atom): -0.068
Mass density (g/cm³): 3.53

No. 4
VASP calculation (PBE) on a geometry-optimized Mn2AlV4 structure.

abc: 4.447 4.447 6.599
angles: 70.31 70.31 90.00
Each line ends with the local moment (μB).
Sites, in units of the cell vectors:
1 Mn 0.385 0.385 0.231  1.82
2 Mn 0.615 0.615 0.769  1.82
3 Al 0.000 0.000 0.000  0.00
4 V 0.207 0.207 0.586  -1.32
5 V 0.793 0.793 0.414  -1.32
6 V 0.000 0.500 0.000  -0.78
7 V 0.500 0.000 0.000  -0.78

Calculated values
Crystal system: tetragonal
Energy relative to the elements (eV/atom): 1.070
Mass density (g/cm³): 4.93

No. 5
VASP calculation (PBE) on a geometry-optimized MnAlV structure.

abc: 3.778 3.778 6.071
angles: 90.00 90.00 90.00
Sites, in units of the cell vectors:
1 Mn 0.500 0.000 0.740
2 Mn 0.000 0.500 0.260
3 Al 0.500 0.000 0.162
4 Al 0.000 0.500 0.838
5 V 0.500 0.500 0.500
6 V 0.000 0.000 0.500

Calculated values
Crystal system: tetragonal
Energy relative to the elements (eV/atom): 0.057
Mass density (g/cm³): 5.09
Polymorph energy (0 for the lowest one) (eV/atom): 0.345

No. 6
VASP calculation (PBE) on a geometry-optimized Mn2Al3V2 structure.

abc: 3.027 4.875 6.624
angles: 82.86 90.00 71.92
Sites, in units of the cell vectors:
1 Mn 0.292 0.416 0.856
2 Mn 0.708 0.584 0.144
3 Al 0.000 0.000 0.000
4 Al 0.417 0.167 0.291
5 Al 0.583 0.833 0.709
6 V 0.849 0.303 0.594
7 V 0.151 0.697 0.406

Calculated values
Crystal system: monoclinic
Energy relative to the elements (eV/atom): -0.179
Mass density (g/cm³): 5.28